The following is a PBE with a Hubbard U calculation of an optimized crystal structure of CrSnF, from Alexandria via LeMat-Bulk.

**Magnetization**: 0.2 μB/f.u.
**E**: -5.436 eV per atom
**Theoretical density**: 4.7 g/cm³

Cell: 3.139 3.340 14.501 Å, 90.00 90.00 118.03°
Sites, in units of the cell vectors:
Cr: 0.760 0.520 0.000
Cr: 0.252 0.504 0.500
F: 0.752 0.504 0.413
F: 0.752 0.504 0.587
Sn: 0.075 0.150 0.834
Sn: 0.075 0.150 0.166